First-principles (SCAN) data for K4Na2H18PdI2O20 at its PBEsol-relaxed geometry, as listed in Alexandria.

abc: 6.709 7.127 10.719
angles: 92.31 102.46 94.61
Each line ends with the local moment (μB).
Fractional coordinates of all 47 atoms:
1 Pd 0.500 0.000 0.000  0.09
2 H 0.639 0.359 0.521  0.00
3 H 0.302 0.024 0.560  0.00
4 H 0.908 0.887 0.617  0.00
5 H 0.335 0.134 0.392  0.00
6 H 0.698 0.976 0.440  0.00
7 H 0.624 0.520 0.625  0.00
8 H 0.823 0.625 0.146  0.00
9 H 0.850 0.852 0.144  0.00
10 H 0.351 0.614 0.997  0.00
11 H 0.361 0.641 0.479  0.00
12 H 0.649 0.386 0.003  0.00
13 H 0.376 0.480 0.375  0.00
14 H 0.177 0.375 0.854  0.00
15 H 0.092 0.113 0.383  0.00
16 H 0.150 0.148 0.856  0.00
17 H 0.469 0.522 0.122  0.00
18 H 0.531 0.478 0.878  0.00
19 H 0.665 0.866 0.608  0.00
20 O 0.926 0.734 0.146  0.00
21 O 0.326 0.582 0.828  0.00
22 O 0.764 0.059 0.128  0.00
23 O 0.220 0.043 0.406  0.00
24 O 0.400 0.101 0.147  0.02
25 O 0.291 0.584 0.391  0.00
26 O 0.236 0.941 0.872  0.00
27 O 0.645 0.952 0.343  0.00
28 O 0.709 0.416 0.609  0.00
29 O 0.656 0.409 0.913  0.00
30 O 0.516 0.296 0.373  0.00
31 O 0.484 0.704 0.627  0.00
32 O 0.918 0.258 0.359  0.00
33 O 0.780 0.957 0.594  0.00
34 O 0.344 0.591 0.087  0.00
35 O 0.355 0.048 0.657  0.00
36 O 0.600 0.899 0.853  0.02
37 O 0.082 0.742 0.641  0.00
38 O 0.674 0.418 0.172  0.00
39 O 0.074 0.266 0.854  0.00
40 K 0.108 0.345 0.606  0.00
41 K 0.892 0.655 0.394  0.00
42 K 0.920 0.689 0.878  0.00
43 K 0.080 0.311 0.122  0.00
44 Na 0.292 0.816 0.240  0.00
45 Na 0.708 0.184 0.760  0.00
46 I 0.340 0.806 0.741  0.00
47 I 0.660 0.194 0.259  0.00

Summary:
For the total magnetization, the calculation gives 0.14 Bohr magnetons per cell. The calculation puts the density of states at the Fermi level at 0.0 states/eV per cell. The total energy comes out at -8.280 eV per atom. Its calculated volume is 498.0 Å³/cell.

***

First-principles (SCAN) data for Sc3Be at its PBEsol-relaxed geometry, as listed in Alexandria.

abc: 4.848 4.848 4.848
angles: 90.00 90.00 90.00
Fractional coordinates of all 4 atoms:
1 Sc 0.000 0.500 0.000
2 Sc 0.500 0.000 0.000
3 Sc 0.000 0.000 0.500
4 Be 0.000 0.000 0.000

Summary:
For the total magnetization, the calculation gives 0.00 Bohr magnetons per cell. The calculation puts the density of states at the Fermi level at 5.0 states/eV per cell. For the formation energy, the calculation gives 0.7608 eV/atom. The total energy comes out at -11.005 eV per atom. Its calculated volume is 113.9 Å³/cell.

***

First-principles (SCAN) data for AlCr2Re at its PBEsol-relaxed geometry, as listed in Alexandria.

abc: 2.950 4.169 4.836
angles: 115.54 107.76 90.00
Each line ends with the local moment (μB).
Fractional coordinates of all 4 atoms:
1 Re 0.489 0.489 0.977  -0.02
2 Cr 0.014 0.014 0.028  -0.72
3 Cr 0.742 0.242 0.485  1.30
4 Al 0.255 0.755 0.510  -0.01

Summary:
For the total magnetization, the calculation gives 0.60 Bohr magnetons per cell. The calculation puts the density of states at the Fermi level at 2.1 states/eV per cell. For the formation energy, the calculation gives -0.2196 eV/atom. The total energy comes out at -29.124 eV per atom. Its calculated volume is 50.5 Å³/cell.

***

First-principles (SCAN) data for Mg2Ir at its PBEsol-relaxed geometry, as listed in Alexandria.

abc: 3.100 4.461 7.105
angles: 90.00 102.60 90.00
Fractional coordinates of all 6 atoms:
1 Mg 0.441 0.750 0.883
2 Mg 0.559 0.250 0.117
3 Mg 0.234 0.250 0.469
4 Mg 0.766 0.750 0.531
5 Ir 0.892 0.250 0.784
6 Ir 0.108 0.750 0.216

Summary:
For the total magnetization, the calculation gives 0.00 Bohr magnetons per cell. The calculation puts the density of states at the Fermi level at 1.6 states/eV per cell. For the formation energy, the calculation gives -0.4311 eV/atom. The total energy comes out at -27.447 eV per atom. Its calculated volume is 95.9 Å³/cell.

***

What is the total magnetization in the third record?
0.60 Bohr magnetons per cell

***

What did the second record say?
First-principles (SCAN) data for Sc3Be at its PBEsol-relaxed geometry, as listed in Alexandria.

abc: 4.848 4.848 4.848
angles: 90.00 90.00 90.00
Fractional coordinates of all 4 atoms:
1 Sc 0.000 0.500 0.000
2 Sc 0.500 0.000 0.000
3 Sc 0.000 0.000 0.500
4 Be 0.000 0.000 0.000

Summary:
For the total magnetization, the calculation gives 0.00 Bohr magnetons per cell. The calculation puts the density of states at the Fermi level at 5.0 states/eV per cell. For the formation energy, the calculation gives 0.7608 eV/atom. The total energy comes out at -11.005 eV per atom. Its calculated volume is 113.9 Å³/cell.

***

Look up the total magnetization of the fourth one.
0.00 Bohr magnetons per cell

***

What is the calculated volume in the fourth record?
95.9 Å³/cell